[1]
A plane-wave DFT calculation with PBE was carried out for a geometry-optimized Li2HfI structure.

The calculation puts the density at 5.92 g/cm3. The value obtained for the uncorrected formation energy is 0.29 eV/atom. The total DFT energy (no corrections) is -56.629 eV/cell.

Lattice parameters (Å, degrees): 7.939 7.939 5.685 90.00 90.00 90.00
Space group I-42d (No. 122)
Asymmetric unit:
Li: 0.213 0.750 0.125 (multiplicity 8)
Hf: 0.000 0.000 0.500 (multiplicity 4)
I: 0.000 0.000 0.000 (multiplicity 4)

---

[2]
A plane-wave DFT calculation with PBE was carried out for a geometry-optimized LiHf2I2 structure.

The calculation puts the density at 8.57 g/cm3. The value obtained for the uncorrected formation energy is 0.41 eV/atom. The total DFT energy (no corrections) is -45.738 eV/cell.

Lattice parameters (Å, degrees): 8.225 8.225 3.539 90.00 90.00 90.00
Space group P4/mbm (No. 127)
Asymmetric unit:
Li: 0.000 0.000 0.000 (multiplicity 2)
Hf: 0.144 0.356 0.000 (multiplicity 4)
I: 0.151 0.651 0.500 (multiplicity 4)

---

[3]
A plane-wave DFT calculation with PBE was carried out for a geometry-optimized Li2HfI structure.

The calculation puts the density at 6.28 g/cm3. The value obtained for the uncorrected formation energy is 0.56 eV/atom. The total DFT energy (no corrections) is -52.299 eV/cell.

Lattice parameters (Å, degrees): 6.965 6.965 6.965 90.00 90.00 90.00
Space group Fm-3m (No. 225)
Asymmetric unit:
Li: 0.250 0.250 0.250 (multiplicity 8)
Hf: 0.000 0.000 0.000 (multiplicity 4)
I: 0.000 0.000 0.500 (multiplicity 4)

---

[4]
A plane-wave DFT calculation with PBE was carried out for a geometry-optimized LiHfI6 structure.

The calculation puts the density at 5.18 g/cm3. The value obtained for the uncorrected formation energy is -0.75 eV/atom. The total DFT energy (no corrections) is -27.138 eV/cell.

Lattice parameters (Å, degrees): 7.340 7.343 7.741 90.00 61.87 60.04
Space group P-1 (No. 2)
Asymmetric unit:
Li: 0.000 0.000 0.000 (multiplicity 1)
Hf: 0.000 0.500 0.500 (multiplicity 1)
I: 0.157 0.576 0.749 (multiplicity 2)
I: 0.171 0.735 0.253 (multiplicity 2)
I: 0.481 0.096 0.253 (multiplicity 2)

---

[5]
A plane-wave DFT calculation with PBE was carried out for a geometry-optimized Li2Hf2I structure.

The calculation puts the density at 6.08 g/cm3. The value obtained for the uncorrected formation energy is 0.26 eV/atom. The total DFT energy (no corrections) is -47.922 eV/cell.

Lattice parameters (Å, degrees): 3.898 3.898 17.882 90.00 90.00 90.00
Space group I4/mmm (No. 139)
Asymmetric unit:
Li: 0.000 0.000 0.093 (multiplicity 4)
Hf: 0.000 0.500 0.250 (multiplicity 4)
I: 0.000 0.000 0.500 (multiplicity 2)

---

[6]
A plane-wave DFT calculation with PBE was carried out for a geometry-optimized Li2HfI6 structure.

The calculation puts the density at 4.31 g/cm3. The value obtained for the uncorrected formation energy is -1.01 eV/atom. The total DFT energy (no corrections) is -64.311 eV/cell.

Lattice parameters (Å, degrees): 7.220 8.061 14.276 90.00 117.69 90.00
Space group P2_1/c (No. 14)
Asymmetric unit:
Li: 0.121 0.078 0.132 (multiplicity 4)
Hf: 0.500 0.000 0.000 (multiplicity 2)
I: 0.146 0.100 0.806 (multiplicity 4)
I: 0.232 0.710 0.547 (multiplicity 4)
I: 0.428 0.233 0.609 (multiplicity 4)

---

[7]
A plane-wave DFT calculation with PBE was carried out for a geometry-optimized LiHf2I2 structure.

The calculation puts the density at 6.75 g/cm3. The value obtained for the uncorrected formation energy is 0.44 eV/atom. The total DFT energy (no corrections) is -45.474 eV/cell.

Lattice parameters (Å, degrees): 5.170 5.170 11.374 90.00 90.00 90.00
Space group I4/mmm (No. 139)
Asymmetric unit:
Li: 0.000 0.000 0.000 (multiplicity 2)
Hf: 0.000 0.000 0.378 (multiplicity 4)
I: 0.000 0.500 0.250 (multiplicity 4)

---

[8]
A plane-wave DFT calculation with PBE was carried out for a geometry-optimized LiHfI2N structure.

The calculation puts the density at 7.45 g/cm3. The value obtained for the uncorrected formation energy is 0.74 eV/atom. The total DFT energy (no corrections) is -19.617 eV/cell.

Lattice parameters (Å, degrees): 5.264 5.264 3.646 90.00 90.00 90.00
Space group P4/mmm (No. 123)
Asymmetric unit:
Li: 0.000 0.000 0.000 (multiplicity 1)
Hf: 0.500 0.500 0.500 (multiplicity 1)
I: 0.000 0.500 0.000 (multiplicity 2)
N: 0.000 0.000 0.500 (multiplicity 1)

---

[9]
A plane-wave DFT calculation with PBE was carried out for a geometry-optimized LiHfI2N structure.

The calculation puts the density at 5.32 g/cm3. The value obtained for the uncorrected formation energy is -0.49 eV/atom. The total DFT energy (no corrections) is -25.744 eV/cell.

Lattice parameters (Å, degrees): 5.927 5.927 4.026 90.00 90.00 90.00
Space group P4/mmm (No. 123)
Asymmetric unit:
Li: 0.000 0.000 0.000 (multiplicity 1)
Hf: 0.500 0.500 0.500 (multiplicity 1)
I: 0.000 0.500 0.500 (multiplicity 2)
N: 0.500 0.500 0.000 (multiplicity 1)

---

[10]
A plane-wave DFT calculation with PBE was carried out for a geometry-optimized Li2HfIO6 structure.

The calculation puts the density at 6.10 g/cm3. The value obtained for the uncorrected formation energy is -1.77 eV/atom. The total DFT energy (no corrections) is -188.275 eV/cell.

Lattice parameters (Å, degrees): 5.2721 5.2721 14.0985 90.00 90.00 120.00
Space group R3 (No. 146, hexagonal axes)
Asymmetric unit:
Li: 0.0000 0.0000 0.0000 (multiplicity 3)
Li: 0.0000 0.0000 0.4924 (multiplicity 3)
Hf: 0.0000 0.0000 0.2135 (multiplicity 3)
I: 0.0000 0.0000 0.7107 (multiplicity 3)
O: 0.0392 0.3396 0.7861 (multiplicity 9)
O: 0.0437 0.6914 0.2899 (multiplicity 9)

---

[11]
A plane-wave DFT calculation with PBE was carried out for a geometry-optimized LiHfI2O structure.

The calculation puts the density at 5.49 g/cm3. The value obtained for the uncorrected formation energy is -1.26 eV/atom. The total DFT energy (no corrections) is -26.211 eV/cell.

Lattice parameters (Å, degrees): 5.880 5.880 3.986 90.00 90.00 90.00
Space group P4/mmm (No. 123)
Asymmetric unit:
Li: 0.000 0.000 0.000 (multiplicity 1)
Hf: 0.500 0.500 0.500 (multiplicity 1)
I: 0.000 0.500 0.500 (multiplicity 2)
O: 0.500 0.500 0.000 (multiplicity 1)

---

[12]
A plane-wave DFT calculation with PBE was carried out for a geometry-optimized LiHfIO2 structure.

The calculation puts the density at 7.90 g/cm3. The value obtained for the uncorrected formation energy is -0.25 eV/atom. The total DFT energy (no corrections) is -24.586 eV/cell.

Lattice parameters (Å, degrees): 4.053 4.053 4.407 90.00 90.00 90.00
Space group P4/mmm (No. 123)
Asymmetric unit:
Li: 0.000 0.000 0.000 (multiplicity 1)
Hf: 0.500 0.500 0.500 (multiplicity 1)
I: 0.000 0.000 0.500 (multiplicity 1)
O: 0.000 0.500 0.000 (multiplicity 2)

---

[13]
A plane-wave DFT calculation with PBE was carried out for a geometry-optimized LiHfIO2 structure.

The calculation puts the density at 5.72 g/cm3. The value obtained for the uncorrected formation energy is -2.03 eV/atom. The total DFT energy (no corrections) is -33.498 eV/cell.

Lattice parameters (Å, degrees): 4.054 4.054 6.086 90.00 90.00 90.00
Space group P4/mmm (No. 123)
Asymmetric unit:
Li: 0.000 0.000 0.000 (multiplicity 1)
Hf: 0.500 0.500 0.500 (multiplicity 1)
I: 0.500 0.500 0.000 (multiplicity 1)
O: 0.000 0.500 0.500 (multiplicity 2)

---

[14]
A plane-wave DFT calculation with PBE was carried out for a geometry-optimized LiHfI2O structure.

The calculation puts the density at 7.47 g/cm3. The value obtained for the uncorrected formation energy is -0.17 eV/atom. The total DFT energy (no corrections) is -20.788 eV/cell.

Lattice parameters (Å, degrees): 5.320 5.320 3.574 90.00 90.00 90.00
Space group P4/mmm (No. 123)
Asymmetric unit:
Li: 0.000 0.000 0.000 (multiplicity 1)
Hf: 0.500 0.500 0.500 (multiplicity 1)
I: 0.000 0.500 0.000 (multiplicity 2)
O: 0.000 0.000 0.500 (multiplicity 1)

---

[15]
A plane-wave DFT calculation with PBE was carried out for a geometry-optimized Rb2LiHfI6 structure.

The calculation puts the density at 4.56 g/cm3. The value obtained for the uncorrected formation energy is -1.09 eV/atom. The total DFT energy (no corrections) is -135.873 eV/cell.

Lattice parameters (Å, degrees): 11.761 11.761 11.761 90.00 90.00 90.00
Space group Fm-3m (No. 225)
Asymmetric unit:
Rb: 0.250 0.250 0.250 (multiplicity 8)
Li: 0.000 0.000 0.000 (multiplicity 4)
Hf: 0.000 0.000 0.500 (multiplicity 4)
I: 0.000 0.000 0.254 (multiplicity 24)

---

[16]
A plane-wave DFT calculation with PBE was carried out for a geometry-optimized Rb2LiHfI6 structure.

The calculation puts the density at 4.47 g/cm3. The value obtained for the uncorrected formation energy is -1.11 eV/atom. The total DFT energy (no corrections) is -204.949 eV/cell.

Lattice parameters (Å, degrees): 8.3115 8.3115 41.6378 90.00 90.00 120.00
Space group R-3m (No. 166, hexagonal axes)
Asymmetric unit:
Rb: 0.0000 0.0000 0.1227 (multiplicity 6)
Rb: 0.0000 0.0000 0.2999 (multiplicity 6)
Li: 0.0000 0.0000 0.4210 (multiplicity 6)
Hf: 0.0000 0.0000 0.0000 (multiplicity 3)
Hf: 0.0000 0.0000 0.5000 (multiplicity 3)
I: 0.0032 0.5016 0.1265 (multiplicity 18)
I: 0.0055 0.5027 0.7071 (multiplicity 18)

---

[17]
A plane-wave DFT calculation with PBE was carried out for a geometry-optimized LiHfRhI2 structure.

The calculation puts the density at 8.21 g/cm3. The value obtained for the uncorrected formation energy is 0.57 eV/atom. The total DFT energy (no corrections) is -19.479 eV/cell.

Lattice parameters (Å, degrees): 5.003 5.003 4.382 90.00 90.00 90.00
Space group P4/mmm (No. 123)
Asymmetric unit:
Li: 0.000 0.000 0.000 (multiplicity 1)
Hf: 0.500 0.500 0.500 (multiplicity 1)
Rh: 0.000 0.000 0.500 (multiplicity 1)
I: 0.000 0.500 0.000 (multiplicity 2)

---

[18]
A plane-wave DFT calculation with PBE was carried out for a geometry-optimized LiHf2RuI structure.

The calculation puts the density at 7.46 g/cm3. The value obtained for the uncorrected formation energy is 1.27 eV/atom. The total DFT energy (no corrections) is -26.312 eV/cell.

Lattice parameters (Å, degrees): 5.228 5.228 4.819 90.00 90.00 90.00
Space group P4/mmm (No. 123)
Asymmetric unit:
Li: 0.000 0.000 0.000 (multiplicity 1)
Hf: 0.000 0.500 0.500 (multiplicity 2)
Ru: 0.500 0.500 0.000 (multiplicity 1)
I: 0.500 0.500 0.500 (multiplicity 1)

---

[19]
A plane-wave DFT calculation with PBE was carried out for a geometry-optimized LiHfSb2I structure.

The calculation puts the density at 5.03 g/cm3. The value obtained for the uncorrected formation energy is -0.05 eV/atom. The total DFT energy (no corrections) is -21.931 eV/cell.

Lattice parameters (Å, degrees): 5.483 5.483 6.104 90.00 90.00 90.00
Space group P4/mmm (No. 123)
Asymmetric unit:
Li: 0.000 0.000 0.000 (multiplicity 1)
Hf: 0.500 0.500 0.500 (multiplicity 1)
Sb: 0.000 0.500 0.500 (multiplicity 2)
I: 0.500 0.500 0.000 (multiplicity 1)

---

[20]
A plane-wave DFT calculation with PBE was carried out for a geometry-optimized LiHfSb2I structure.

The calculation puts the density at 7.17 g/cm3. The value obtained for the uncorrected formation energy is 0.49 eV/atom. The total DFT energy (no corrections) is -19.211 eV/cell.

Lattice parameters (Å, degrees): 4.923 4.923 5.310 90.00 90.00 90.00
Space group P4/mmm (No. 123)
Asymmetric unit:
Li: 0.000 0.000 0.000 (multiplicity 1)
Hf: 0.500 0.500 0.500 (multiplicity 1)
Sb: 0.000 0.500 0.000 (multiplicity 2)
I: 0.000 0.000 0.500 (multiplicity 1)